Record 1
A plane-wave DFT calculation with PBE-GGA was carried out for an optimized crystal structure of Na4NiCl6.

The calculation puts the magnetic moment at 11.053 μB/cell. For the uncorrected formation energy, the calculation gives -15.6 eV per formula unit. For the volume, the calculation gives 1474.0 Å³/cell.

It has space group R-3c (No. 167, hexagonal axes), with a = 11.2298 Å, b = 11.2298 Å, c = 13.4964 Å, α = 90.00°, β = 90.00° and γ = 120.00°. The distinct sites, in fractional coordinates, are Na at (0.0000, 0.0000, 0.2500), Na at (0.0000, 0.3856, 0.2500), Ni at (0.0000, 0.0000, 0.0000) and Cl at (0.0427, 0.1935, 0.3970).


Record 2
A plane-wave DFT calculation with PBE-GGA was carried out for an optimized crystal structure of NaNiCl.

The calculation puts the magnetic moment at 3.846 μB/cell. The density of states at the Fermi level is 1.05 states/eV per atom. For the energy above the most stable polymorph in this dataset, the calculation gives 148 meV per atom. For the uncorrected formation energy, the calculation gives -1.4 eV per formula unit. For the volume, the calculation gives 263.5 Å³/cell.

It has space group Ima2 (No. 46), with a = 3.685 Å, b = 11.647 Å, c = 6.140 Å, α = 90.00°, β = 90.00° and γ = 90.00°. The distinct sites, in fractional coordinates, are Na at (0.250, 0.151, 0.000), Ni at (0.250, 0.554, 0.870) and Cl at (0.250, 0.676, 0.155).


Record 3
A plane-wave DFT calculation with PBE-GGA was carried out for an optimized crystal structure of NaNi3Cl.

The calculation puts the magnetic moment at 2.033 μB/cell. The density of states at the Fermi level is 2.95 states/eV per atom. For the energy above the most stable polymorph in this dataset, the calculation gives 1180 meV per atom. For the uncorrected formation energy, the calculation gives 8.3 eV per formula unit. For the volume, the calculation gives 99.0 Å³/cell.

It has space group Pm-3m (No. 221), with a = 4.626 Å, b = 4.626 Å, c = 4.626 Å, α = 90.00°, β = 90.00° and γ = 90.00°. The distinct sites, in fractional coordinates, are Na at (0.000, 0.000, 0.000), Ni at (0.000, 0.000, 0.500) and Cl at (0.500, 0.500, 0.500).


Record 4
A plane-wave DFT calculation with PBE-GGA was carried out for an optimized crystal structure of Na3NiCl4.

The calculation puts the magnetic moment at 2.000 μB/cell. The density of states at the Fermi level is 0.05 states/eV per atom. For the uncorrected formation energy, the calculation gives -10.3 eV per formula unit. For the volume, the calculation gives 373.2 Å³/cell.

It has space group I-42m (No. 121), with a = 6.859 Å, b = 6.859 Å, c = 7.934 Å, α = 90.00°, β = 90.00° and γ = 90.00°. The distinct sites, in fractional coordinates, are Na at (0.000, 0.000, 0.000), Na at (0.000, 0.500, 0.250), Ni at (0.000, 0.000, 0.500) and Cl at (0.229, 0.229, 0.413).


Record 5
A plane-wave DFT calculation with PBE-GGA was carried out for an optimized crystal structure of NaNi2Cl.

The calculation puts the magnetic moment at 0.000 μB/cell. The density of states at the Fermi level is 0.16 states/eV per atom. For the energy above the most stable polymorph in this dataset, the calculation gives 0 meV per atom. For the uncorrected formation energy, the calculation gives 0.7 eV per formula unit. For the volume, the calculation gives 329.7 Å³/cell.

It has space group I4_1/amd (No. 141, origin choice 2), with a = 4.879 Å, b = 4.879 Å, c = 13.850 Å, α = 90.00°, β = 90.00° and γ = 90.00°. The distinct sites, in fractional coordinates, are Na at (0.000, 0.250, 0.375), Ni at (0.000, 0.000, 0.000) and Cl at (0.000, 0.250, 0.875).


Record 6
A plane-wave DFT calculation with PBE-GGA was carried out for an optimized crystal structure of NaNiCl3.

The calculation puts the magnetic moment at 0.000 μB/cell. The density of states at the Fermi level is 0.35 states/eV per atom. For the energy above the most stable polymorph in this dataset, the calculation gives 85 meV per atom. For the uncorrected formation energy, the calculation gives -4.6 eV per formula unit. For the volume, the calculation gives 103.7 Å³/cell.

It has space group Pm-3m (No. 221), with a = 4.698 Å, b = 4.698 Å, c = 4.698 Å, α = 90.00°, β = 90.00° and γ = 90.00°. The distinct sites, in fractional coordinates, are Na at (0.000, 0.000, 0.000), Ni at (0.500, 0.500, 0.500) and Cl at (0.000, 0.500, 0.500).


Record 7
A plane-wave DFT calculation with PBE-GGA was carried out for an optimized crystal structure of NaNiCl.

The calculation puts the magnetic moment at 0.000 μB/cell. The density of states at the Fermi level is 0.26 states/eV per atom. For the energy above the most stable polymorph in this dataset, the calculation gives 336 meV per atom. For the uncorrected formation energy, the calculation gives -0.8 eV per formula unit. For the volume, the calculation gives 54.6 Å³/cell.

It has space group P-6m2 (No. 187), with a = 3.8931 Å, b = 3.8931 Å, c = 4.1624 Å, α = 90.00°, β = 90.00° and γ = 120.00°. The distinct sites, in fractional coordinates, are Na at (0.0000, 0.0000, 0.0000), Ni at (0.6667, 0.3333, 0.5000) and Cl at (0.3333, 0.6667, 0.5000).


Record 8
A plane-wave DFT calculation with PBE-GGA was carried out for an optimized crystal structure of NaNiCl.

The calculation puts the magnetic moment at 1.022 μB/cell. The density of states at the Fermi level is 0.85 states/eV per atom. For the energy above the most stable polymorph in this dataset, the calculation gives 677 meV per atom. For the uncorrected formation energy, the calculation gives 0.2 eV per formula unit. For the volume, the calculation gives 226.2 Å³/cell.

It has space group F-43m (No. 216), with a = 6.093 Å, b = 6.093 Å, c = 6.093 Å, α = 90.00°, β = 90.00° and γ = 90.00°. The distinct sites, in fractional coordinates, are Na at (0.000, 0.000, 0.000), Ni at (0.000, 0.000, 0.500) and Cl at (0.250, 0.250, 0.250).


Record 9
A plane-wave DFT calculation with PBE-GGA was carried out for an optimized crystal structure of NaNiCl.

The calculation puts the magnetic moment at 0.000 μB/cell. The density of states at the Fermi level is 0.00 states/eV per atom. For the energy above the most stable polymorph in this dataset, the calculation gives 154 meV per atom. For the uncorrected formation energy, the calculation gives -1.4 eV per formula unit. For the volume, the calculation gives 127.7 Å³/cell.

It has space group Pm (No. 6), with a = 4.734 Å, b = 3.325 Å, c = 8.261 Å, α = 90.00°, β = 100.78° and γ = 90.00°. The distinct sites, in fractional coordinates, are Na at (0.000, 0.000, 0.000), Na at (0.199, 0.000, 0.509), Ni at (0.587, 0.000, 0.267), Ni at (0.689, 0.500, 0.474), Cl at (0.532, 0.500, 0.080) and Cl at (0.944, 0.500, 0.727).


Record 10
A plane-wave DFT calculation with PBE-GGA was carried out for an optimized crystal structure of NaNiCl.

The calculation puts the magnetic moment at 0.000 μB/cell. The density of states at the Fermi level is 0.23 states/eV per atom. For the energy above the most stable polymorph in this dataset, the calculation gives 172 meV per atom. For the uncorrected formation energy, the calculation gives -1.3 eV per formula unit. For the volume, the calculation gives 125.5 Å³/cell.

It has space group P1 (No. 1), with a = 4.001 Å, b = 4.150 Å, c = 7.830 Å, α = 105.13°, β = 90.25° and γ = 90.04°. The distinct sites, in fractional coordinates, are Na at (0.000, 0.000, 0.000), Na at (0.003, 0.282, 0.544), Ni at (0.501, 0.137, 0.279), Ni at (0.502, 0.548, 0.097), Cl at (0.503, 0.687, 0.379) and Cl at (0.505, 0.412, 0.812).


Record 11
A plane-wave DFT calculation with PBE-GGA was carried out for an optimized crystal structure of NaNiCl3.

The calculation puts the magnetic moment at 2.000 μB/cell. The density of states at the Fermi level is 2.67 states/eV per atom. For the energy above the most stable polymorph in this dataset, the calculation gives 1065 meV per atom. For the uncorrected formation energy, the calculation gives 0.3 eV per formula unit. For the volume, the calculation gives 129.4 Å³/cell.

It has space group Pm-3m (No. 221), with a = 5.058 Å, b = 5.058 Å, c = 5.058 Å, α = 90.00°, β = 90.00° and γ = 90.00°. The distinct sites, in fractional coordinates, are Na at (0.000, 0.000, 0.000), Ni at (0.500, 0.500, 0.500) and Cl at (0.000, 0.000, 0.500).


Record 12
A plane-wave DFT calculation with PBE-GGA was carried out for an optimized crystal structure of Na3NiCl6.

The calculation puts the magnetic moment at 6.002 μB/cell. The density of states at the Fermi level is 0.53 states/eV per atom. For the uncorrected formation energy, the calculation gives -12.3 eV per formula unit. For the volume, the calculation gives 1450.4 Å³/cell.

It has space group R-3 (No. 148, hexagonal axes), with a = 11.1345 Å, b = 11.1345 Å, c = 13.5084 Å, α = 90.00°, β = 90.00° and γ = 120.00°. The distinct sites, in fractional coordinates, are Na at (0.0582, 0.2707, 0.2009), Ni at (0.0000, 0.0000, 0.0000), Ni at (0.0000, 0.0000, 0.5000), Cl at (0.0181, 0.1813, 0.4023) and Cl at (0.0431, 0.1874, 0.8997).


Record 13
A plane-wave DFT calculation with PBE-GGA was carried out for an optimized crystal structure of Na2NiCl4.

The calculation puts the magnetic moment at 0.000 μB/cell. The density of states at the Fermi level is 0.06 states/eV per atom. For the energy above the most stable polymorph in this dataset, the calculation gives 44 meV per atom. For the uncorrected formation energy, the calculation gives -8.2 eV per formula unit. For the volume, the calculation gives 312.7 Å³/cell.

It has space group I4/mmm (No. 139), with a = 4.751 Å, b = 4.751 Å, c = 13.858 Å, α = 90.00°, β = 90.00° and γ = 90.00°. The distinct sites, in fractional coordinates, are Na at (0.000, 0.000, 0.135), Ni at (0.000, 0.000, 0.500), Cl at (0.000, 0.000, 0.334) and Cl at (0.000, 0.500, 0.000).


Record 14
A plane-wave DFT calculation with PBE-GGA was carried out for an optimized crystal structure of Na3Ni5Cl12.

The calculation puts the magnetic moment at 72.238 μB/cell. The density of states at the Fermi level is 1.03 states/eV per atom. For the uncorrected formation energy, the calculation gives -16.7 eV per formula unit. For the volume, the calculation gives 3520.8 Å³/cell.

It has space group Ia-3d (No. 230), with a = 15.213 Å, b = 15.213 Å, c = 15.213 Å, α = 90.00°, β = 90.00° and γ = 90.00°. The distinct sites, in fractional coordinates, are Na at (0.000, 0.250, 0.125), Ni at (0.000, 0.000, 0.000), Ni at (0.000, 0.250, 0.375) and Cl at (0.031, 0.052, 0.648).


Record 15
A plane-wave DFT calculation with PBE-GGA was carried out for an optimized crystal structure of NaNiCl.

The calculation puts the magnetic moment at 1.442 μB/cell. The density of states at the Fermi level is 0.94 states/eV per atom. For the energy above the most stable polymorph in this dataset, the calculation gives 584 meV per atom. For the uncorrected formation energy, the calculation gives -0.1 eV per formula unit. For the volume, the calculation gives 126.1 Å³/cell.

It has space group P4/nmm (No. 129, origin choice 2), with a = 4.551 Å, b = 4.551 Å, c = 6.087 Å, α = 90.00°, β = 90.00° and γ = 90.00°. The distinct sites, in fractional coordinates, are Na at (0.250, 0.250, 0.143), Ni at (0.250, 0.250, 0.631) and Cl at (0.250, 0.750, 0.500).


Record 16
A plane-wave DFT calculation with PBE-GGA was carried out for an optimized crystal structure of NaNiCl.

The calculation puts the magnetic moment at 0.000 μB/cell. The density of states at the Fermi level is 0.00 states/eV per atom. For the energy above the most stable polymorph in this dataset, the calculation gives 104 meV per atom. For the uncorrected formation energy, the calculation gives -1.5 eV per formula unit. For the volume, the calculation gives 226.6 Å³/cell.

It has space group Pnma (No. 62), with a = 6.338 Å, b = 3.300 Å, c = 10.837 Å, α = 90.00°, β = 90.00° and γ = 90.00°. The distinct sites, in fractional coordinates, are Na at (0.182, 0.250, 0.150), Ni at (0.105, 0.250, 0.452) and Cl at (0.191, 0.250, 0.860).


Record 17
A plane-wave DFT calculation with PBE-GGA was carried out for an optimized crystal structure of NaNiCl.

The calculation puts the magnetic moment at 0.000 μB/cell. The density of states at the Fermi level is 0.04 states/eV per atom. For the energy above the most stable polymorph in this dataset, the calculation gives 162 meV per atom. For the uncorrected formation energy, the calculation gives -1.3 eV per formula unit. For the volume, the calculation gives 260.1 Å³/cell.

It has space group Cm (No. 8), with a = 10.358 Å, b = 4.143 Å, c = 6.134 Å, α = 90.00°, β = 98.76° and γ = 90.00°. The distinct sites, in fractional coordinates, are Na at (0.000, 0.000, 0.000), Na at (0.244, 0.000, 0.641), Ni at (0.047, 0.500, 0.657), Ni at (0.452, 0.500, 0.478), Cl at (0.189, 0.500, 0.952) and Cl at (0.423, 0.000, 0.350).


Record 18
A plane-wave DFT calculation with PBE-GGA was carried out for an optimized crystal structure of NaNiCl3.

The calculation puts the magnetic moment at 0.167 μB/cell. The density of states at the Fermi level is 0.15 states/eV per atom. For the energy above the most stable polymorph in this dataset, the calculation gives 64 meV per atom. For the uncorrected formation energy, the calculation gives -4.7 eV per formula unit. For the volume, the calculation gives 291.9 Å³/cell.

It has space group P-1 (No. 2), with a = 7.293 Å, b = 7.304 Å, c = 7.323 Å, α = 97.68°, β = 115.79° and γ = 115.34°. The distinct sites, in fractional coordinates, are Na at (0.249, 0.090, 0.339), Ni at (0.000, 0.500, 0.500), Ni at (0.500, 0.500, 0.000), Cl at (0.220, 0.221, 0.000), Cl at (0.251, 0.387, 0.637) and Cl at (0.279, 0.780, 0.501).


Record 19
A plane-wave DFT calculation with PBE-GGA was carried out for an optimized crystal structure of NaNiCl3.

The calculation puts the magnetic moment at 3.972 μB/cell. For the energy above the most stable polymorph in this dataset, the calculation gives 0 meV per atom. For the uncorrected formation energy, the calculation gives -5.1 eV per formula unit. For the volume, the calculation gives 225.0 Å³/cell.

It has space group P2_1/m (No. 11), with a = 6.564 Å, b = 3.636 Å, c = 9.789 Å, α = 90.00°, β = 105.57° and γ = 90.00°. The distinct sites, in fractional coordinates, are Na at (0.185, 0.250, 0.399), Ni at (0.485, 0.750, 0.842), Cl at (0.244, 0.750, 0.614), Cl at (0.297, 0.250, 0.919) and Cl at (0.304, 0.750, 0.218).


Record 20
A plane-wave DFT calculation with PBE-GGA was carried out for an optimized crystal structure of NaNiCl.

The calculation puts the magnetic moment at 0.000 μB/cell. The density of states at the Fermi level is 0.32 states/eV per atom. For the energy above the most stable polymorph in this dataset, the calculation gives 357 meV per atom. For the uncorrected formation energy, the calculation gives -0.8 eV per formula unit. For the volume, the calculation gives 159.7 Å³/cell.

It has space group P6_3/mmc (No. 194), with a = 4.7152 Å, b = 4.7152 Å, c = 8.2951 Å, α = 90.00°, β = 90.00° and γ = 120.00°. The distinct sites, in fractional coordinates, are Na at (0.3333, 0.6667, 0.2500), Ni at (0.0000, 0.0000, 0.0000) and Cl at (0.0000, 0.0000, 0.2500).